14
Lattice="-3.866 3.919 5.677 3.866 -3.919 5.677 3.866 3.919 -5.677" Properties=species:S:1:pos:R:3 comment="NaMgAgCl4 (GGA-PBE, relaxed)" e_tot_ev_per_atom=-3.307 sg="Imma (74)" raw_formation_energy_ev_per_atom=-1.43 m_tot_mub_per_fu=0.0 pbc="T T T"
Na 0.000 0.000 0.000
Na 0.000 3.919 0.000
Mg -1.933 1.960 2.838
Mg 1.933 1.960 2.838
Ag 3.866 1.960 -1.298
Ag 0.000 1.960 6.975
Cl 3.866 0.223 2.838
Cl 0.000 0.223 2.839
Cl 1.874 1.960 0.361
Cl 1.992 -1.960 6.038
Cl 1.874 5.879 -0.361
Cl 1.992 1.960 5.316
Cl 3.866 3.696 2.838
Cl 0.000 3.696 2.839